--- 1 ---
The following is a GGA-PBE calculation of an optimized crystal structure of ScZnCl2, from the Alexandria database.

**Size of the total moment**: 1.8 Bohr magnetons per cell
**Crystal system**: monoclinic

Cell: 9.4151 3.3429 6.7790 Å, 90.00 104.12 90.00°
Last column: nearest neighbours and their distance in Å.
Space group Cm (No. 8)
One atom of each set of equivalent atoms:
Sc 0.0000 0.0000 0.0000 x2  5 Cl 2.56-2.75
Zn 0.1042 0.5000 0.3564 x2  2 Cl 2.82-3.12, 2 Sc 2.90
Cl 0.0039 0.5000 0.7161 x2  2 Sc 2.56, 1 Zn 2.82
Cl 0.2983 0.0000 0.0493 x2  3 Sc 2.61-2.75



--- 2 ---
The following is a GGA-PBE calculation of an optimized crystal structure of ScZnCl2, from the Alexandria database.

**Size of the total moment**: 0.6 Bohr magnetons per cell
**Crystal system**: monoclinic

Cell: 3.9104 3.5523 7.7163 Å, 90.00 104.49 90.00°
Last column: nearest neighbours and their distance in Å.
Space group Pm (No. 6)
One atom of each set of equivalent atoms:
Sc 0.0000 0.0000 0.0000 x1  3 Cl 2.50-2.51
Zn 0.4176 0.5000 0.8331 x1  4 Sc 2.92, 4 Cl 2.92-2.93
Cl 0.1191 0.5000 0.2379 x1  2 Sc 2.51
Cl 0.8350 0.0000 0.6650 x1  1 Sc 2.50



Quick one: most stable of them? 1



--- 1 ---
The following is a GGA-PBE calculation of an optimized crystal structure of ScZnCl2, from the Alexandria database.

**Size of the total moment**: 0.9 Bohr magnetons per cell
**Crystal system**: tetragonal

Cell: 4.5243 4.5243 3.9715 Å, 90.00 90.00 90.00°
Last column: nearest neighbours and their distance in Å.
Space group P4/mmm (No. 123)
One atom of each set of equivalent atoms:
Sc 0.0000 0.0000 0.0000 x1  8 Cl 3.01, 4 Zn 3.20
Zn 0.5000 0.5000 0.0000 x1  8 Cl 3.01, 4 Sc 3.20
Cl 0.0000 0.5000 0.5000 x2  4 Zn 3.01, 4 Sc 3.01, 4 Cl 3.20



--- 2 ---
The following is a GGA-PBE calculation of an optimized crystal structure of ScZnCl2, from the Alexandria database.

**Size of the total moment**: 1.0 Bohr magnetons per cell
**Crystal system**: orthorhombic

Cell: 3.4926 6.5733 10.7276 Å, 90.00 90.00 90.00°
Last column: nearest neighbours and their distance in Å.
Space group Cmmm (No. 65)
One atom of each set of equivalent atoms:
Sc 0.0000 0.0000 0.0000 x2  4 Cl 2.50
Zn 0.0000 0.0000 0.5000 x2  6 Zn 3.49-3.72
Cl 0.0000 0.5000 0.1665 x4  2 Sc 2.50



Quick one: most stable of them? 2



--- 1 ---
The following is a GGA-PBE calculation of an optimized crystal structure of ScZnCl2, from the Alexandria database.

**Size of the total moment**: 1.3 Bohr magnetons per cell
**Crystal system**: trigonal

Cell: 3.5283 3.5283 30.7720 Å, 90.00 90.00 120.00°
Last column: nearest neighbours and their distance in Å.
Space group R-3m (No. 166, hexagonal axes)
One atom of each set of equivalent atoms:
Sc 0.0000 0.0000 0.0000 x3  6 Cl 2.58
Zn 0.0000 0.0000 0.5000 x3  6 Zn 3.53
Cl 0.0000 0.0000 0.2821 x6  3 Sc 2.58



--- 2 ---
The following is a GGA-PBE calculation of an optimized crystal structure of ScZnCl2, from the Alexandria database.

**Size of the total moment**: 0.0 Bohr magnetons per cell
**Crystal system**: orthorhombic

Cell: 3.7490 5.7484 8.8074 Å, 90.00 90.00 90.00°
Last column: nearest neighbours and their distance in Å.
Space group Cmm2 (No. 35)
One atom of each set of equivalent atoms:
Sc 0.0000 0.0000 0.0000 x2  2 Cl 2.54, 2 Zn 2.76
Zn 0.0000 0.5000 0.2305 x2  2 Cl 2.38
Cl 0.0000 0.0000 0.3978 x2  2 Zn 2.38
Cl 0.0000 0.5000 0.8052 x2  2 Sc 2.54



Quick one: most stable of them? 1



--- 1 ---
The following is a GGA-PBE calculation of an optimized crystal structure of ScZnCl2, from the Alexandria database.

**Size of the total moment**: 0.9 Bohr magnetons per cell
**Crystal system**: tetragonal

Cell: 3.2988 3.2988 8.1123 Å, 90.00 90.00 90.00°
Last column: nearest neighbours and their distance in Å.
Space group P4mm (No. 99)
One atom of each set of equivalent atoms:
Sc 0.0000 0.0000 0.0000 x1  4 Cl 2.76, 4 Zn 3.01
Zn 0.5000 0.5000 0.2351 x1  4 Cl 2.68
Cl 0.0000 0.0000 0.3978 x1  4 Zn 2.68
Cl 0.5000 0.5000 0.8188 x1  4 Sc 2.76



--- 2 ---
The following is a GGA-PBE calculation of an optimized crystal structure of ScZnCl2, from the Alexandria database.

**Size of the total moment**: 0.0 Bohr magnetons per cell
**Crystal system**: orthorhombic

Cell: 3.4353 4.2175 5.5276 Å, 90.00 90.00 90.00°
Last column: nearest neighbours and their distance in Å.
Space group Pmmm (No. 47)
One atom of each set of equivalent atoms:
Sc 0.0000 0.0000 0.0000 x1  4 Cl 2.72
Zn 0.5000 0.0000 0.5000 x1  4 Cl 2.72
Cl 0.0000 0.5000 0.5000 x1  4 Zn 2.72
Cl 0.5000 0.5000 0.0000 x1  4 Sc 2.72



Quick one: most stable of them? 1



--- 1 ---
The following is a GGA-PBE calculation of an optimized crystal structure of ScZnCl2, from the Alexandria database.

**Size of the total moment**: 4.0 Bohr magnetons per cell
**Crystal system**: cubic

Cell: 6.8414 6.8414 6.8414 Å, 90.00 90.00 90.00°
Last column: nearest neighbours and their distance in Å.
Space group Fm-3m (No. 225)
One atom of each set of equivalent atoms:
Sc 0.0000 0.0000 0.0000 x4  8 Cl 2.96
Zn 0.0000 0.0000 0.5000 x4  8 Cl 2.96
Cl 0.2500 0.2500 0.2500 x8  4 Sc 2.96, 4 Zn 2.96



--- 2 ---
The following is a GGA-PBE calculation of an optimized crystal structure of ScZnCl2, from the Alexandria database.

**Size of the total moment**: 0.7 Bohr magnetons per cell
**Crystal system**: trigonal

Cell: 3.6665 3.6665 31.4145 Å, 90.00 90.00 120.00°
Last column: nearest neighbours and their distance in Å.
Space group R-3m (No. 166, hexagonal axes)
One atom of each set of equivalent atoms:
Sc 0.0000 0.0000 0.0000 x3  2 Cl 2.30
Zn 0.0000 0.0000 0.5000 x3  6 Cl 3.62, 6 Zn 3.67
Cl 0.0000 0.0000 0.0731 x6  1 Sc 2.30



Quick one: most stable of them? 1



--- 1 ---
The following is a GGA-PBE calculation of an optimized crystal structure of Zr2ScCl, from the Alexandria database.

**Size of the total moment**: 0.0 Bohr magnetons per cell
**Crystal system**: trigonal

Cell: 3.2216 3.2216 28.9344 Å, 90.00 90.00 120.00°
Last column: nearest neighbours and their distance in Å.
Space group R-3m (No. 166, hexagonal axes)
One atom of each set of equivalent atoms:
Zr 0.0000 0.0000 0.2423 x6  3 Cl 2.87
Sc 0.0000 0.0000 0.0000 x3  6 Sc 3.22, 6 Zr 3.22
Cl 0.0000 0.0000 0.5000 x3  6 Zr 2.87



--- 2 ---
The following is a GGA-PBE calculation of an optimized crystal structure of Zr2ScCl, from the Alexandria database.

**Size of the total moment**: 0.0 Bohr magnetons per cell
**Crystal system**: monoclinic

Cell: 3.2542 5.3014 5.1934 Å, 90.00 97.02 90.00°
Last column: nearest neighbours and their distance in Å.
Space group P2/m (No. 10)
One atom of each set of equivalent atoms:
Zr 0.1626 0.0000 0.2383 x2  1 Zr 2.57
Sc 0.5000 0.5000 0.0000 x1  4 Cl 2.89-3.23, 4 Zr 3.18
Cl 0.0000 0.5000 0.5000 x1  4 Sc 2.89-3.23, 4 Zr 3.05



--- 3 ---
The following is a GGA-PBE calculation of an optimized crystal structure of Zr2ScCl, from the Alexandria database.

**Size of the total moment**: 0.0 Bohr magnetons per cell
**Crystal system**: orthorhombic

Cell: 6.1709 8.6697 3.2214 Å, 90.00 90.00 90.00°
Last column: nearest neighbours and their distance in Å.
Space group Cmmm (No. 65)
One atom of each set of equivalent atoms:
Zr 0.2500 0.2500 0.0000 x4  4 Zr 3.09-3.22, 4 Cl 3.11, 4 Sc 3.11
Sc 0.0000 0.0000 0.5000 x2  2 Cl 3.09, 8 Zr 3.11, 2 Sc 3.22
Cl 0.0000 0.5000 0.5000 x2  2 Sc 3.09, 8 Zr 3.11, 2 Cl 3.22



Quick one: most stable of them? 1